# 1
Density functional theory data (PBE-GGA) for a relaxed KTlTc2 crystal.

a = 2.808 Å, b = 2.808 Å, c = 10.437 Å
α = 90.00°, β = 90.00°, γ = 90.00°
Space group P4/mmm (No. 123)
Asymmetric unit:
K  0.000  0.000  0.000
Tl  0.000  0.000  0.500
Tc  0.500  0.500  0.280

Spin magnetization ... 0.002 μB per atom
Energy of formation ... 1.315 eV/atom



# 2
Density functional theory data (PBE-GGA) for a relaxed Ce3ThZn2 crystal.

a = 10.280 Å, b = 9.952 Å, c = 5.908 Å
α = 90.00°, β = 90.00°, γ = 90.00°
Space group Cmcm (No. 63)
Asymmetric unit:
Ce  0.000  0.028  0.250
Ce  0.161  0.250  0.250
Th  0.000  0.354  0.750
Zn  0.234  0.500  0.000

Spin magnetization ... 0.000 μB per atom
Energy of formation ... -0.022 eV/atom



# 3
Density functional theory data (PBE-GGA) for a relaxed KSc2Fe crystal.

a = 3.595 Å, b = 3.595 Å, c = 8.597 Å
α = 90.00°, β = 90.00°, γ = 90.00°
Space group P4mm (No. 99)
Asymmetric unit:
K  0.000  0.000  0.000
Sc  0.000  0.000  0.603
Sc  0.500  0.500  0.382
Fe  0.500  0.500  0.659

Spin magnetization ... 0.090 μB per atom
Energy of formation ... 0.393 eV/atom



# 4
Density functional theory data (PBE-GGA) for a relaxed TlBRu2W crystal.

a = 4.780 Å, b = 4.780 Å, c = 4.238 Å
α = 90.00°, β = 90.00°, γ = 90.00°
Space group P4/mmm (No. 123)
Asymmetric unit:
Tl  0.000  0.000  0.000
B  0.500  0.500  0.000
Ru  0.000  0.500  0.500
W  0.500  0.500  0.500

Spin magnetization ... 0.000 μB per atom
Energy of formation ... 1.477 eV/atom



# 5
Density functional theory data (PBE-GGA) for a relaxed GeRh2OF crystal.

a = 4.765 Å, b = 4.765 Å, c = 3.709 Å
α = 90.00°, β = 90.00°, γ = 90.00°
Space group P4/mmm (No. 123)
Asymmetric unit:
Ge  0.000  0.000  0.000
Rh  0.000  0.500  0.000
O  0.000  0.000  0.500
F  0.500  0.500  0.500

ΔE_f (raw) ... 324 meV/atom
Spin magnetization ... 0.417 μB per atom



# 6
Density functional theory data (PBE-GGA) for a relaxed Ba2LiTcF crystal.

a = 5.688 Å, b = 5.688 Å, c = 4.669 Å
α = 90.00°, β = 90.00°, γ = 90.00°
Space group P4/mmm (No. 123)
Asymmetric unit:
Ba  0.000  0.500  0.000
Li  0.000  0.000  0.500
Tc  0.000  0.000  0.000
F  0.500  0.500  0.500

ΔE_f (raw) ... -188 meV/atom
Spin magnetization ... 0.000 μB per atom